A relaxed structure of Th8PdRh3Se4. Source: Alexandria via LeMat-Bulk, functional PBE.

Computed properties:
Raw formation energy = -1178 meV/atom
Calculated total energy = -7.462 eV per atom
D(E_F) = 0.842 states/eV per atom

CIF file:
```
data_Th8PdRh3Se4
_chemical_formula_sum 'Th24 Pd3 Rh9 Se12'
_symmetry_space_group_name_H-M 'R -3 m'
_symmetry_Int_Tables_number 166
_symmetry_space_group_name_Hall '-R 3 2"'
_cell_length_a 8.2269
_cell_length_b 8.2269
_cell_length_c 21.9661
_cell_angle_alpha 90.00
_cell_angle_beta 90.00
_cell_angle_gamma 120.00
loop_
_atom_site_label
_atom_site_type_symbol
_atom_site_fract_x
_atom_site_fract_y
_atom_site_fract_z
Th1 Th 0.0000 0.0000 0.2410
Th2 Th 0.0064 0.5032 0.7579
Pd1 Pd 0.0000 0.0000 0.5000
Rh1 Rh 0.0000 0.5000 0.5000
Se1 Se 0.0000 0.0000 0.0000
Se2 Se 0.0000 0.5000 0.0000
```

=====

A relaxed structure of Cu4NiAu. Source: Alexandria via LeMat-Bulk, functional PBE.

Computed properties:
Energy of formation from the pure elements = 110 meV per atom
Calculated total energy = -4.130 eV per atom
Polymorph energy (0 for the lowest one) = 105.1 meV/atom
D(E_F) = 0.466 states/eV per atom

CIF file:
```
data_Cu4NiAu
_chemical_formula_sum 'Cu16 Ni4 Au4'
_symmetry_space_group_name_H-M 'F -4 3 m'
_symmetry_Int_Tables_number 216
_symmetry_space_group_name_Hall 'F -4 2 3'
_cell_length_a 6.7833
_cell_length_b 6.7833
_cell_length_c 6.7833
_cell_angle_alpha 90.00
_cell_angle_beta 90.00
_cell_angle_gamma 90.00
loop_
_atom_site_label
_atom_site_type_symbol
_atom_site_fract_x
_atom_site_fract_y
_atom_site_fract_z
Cu1 Cu 0.1246 0.1246 0.1246
Ni1 Ni 0.2500 0.2500 0.7500
Au1 Au 0.0000 0.0000 0.5000
```

=====

A relaxed structure of Y2Cu3Pd2. Source: Alexandria via LeMat-Bulk, functional PBE.

Computed properties:
Energy of formation from the pure elements = -505 meV per atom
Calculated total energy = -5.591 eV per atom
D(E_F) = 0.464 states/eV per atom

CIF file:
```
data_Y2Cu3Pd2
_chemical_formula_sum 'Y4 Cu6 Pd4'
_symmetry_space_group_name_H-M 'C 1 2/m 1'
_symmetry_Int_Tables_number 12
_cell_length_a 9.6588
_cell_length_b 4.3385
_cell_length_c 6.4314
_cell_angle_alpha 90.00
_cell_angle_beta 110.68
_cell_angle_gamma 90.00
loop_
_symmetry_equiv_pos_as_xyz
'x,y,z'
'-x,-y,-z'
'-x,y,-z'
'x,-y,z'
'x+1/2,y+1/2,z'
'-x+1/2,-y+1/2,-z'
'-x+1/2,y+1/2,-z'
'x+1/2,-y+1/2,z'
loop_
_atom_site_label
_atom_site_type_symbol
_atom_site_fract_x
_atom_site_fract_y
_atom_site_fract_z
Y1 Y 0.1475 0.0000 0.2545
Cu1 Cu 0.0000 0.5000 0.5000
Cu2 Cu 0.1053 0.5000 0.9258
Pd1 Pd 0.1406 0.0000 0.7092
```

=====

A relaxed structure of LaGeRu3. Source: Alexandria via LeMat-Bulk, functional PBE.

Computed properties:
Energy of formation from the pure elements = 1818 meV per atom
Calculated total energy = -5.656 eV per atom
Polymorph energy (0 for the lowest one) = 1574.1 meV/atom
D(E_F) = 1.515 states/eV per atom

CIF file:
```
data_LaGeRu3
_chemical_formula_sum 'La1 Ge1 Ru3'
_symmetry_space_group_name_H-M 'P m -3 m'
_symmetry_Int_Tables_number 221
_symmetry_space_group_name_Hall '-P 4 2 3'
_cell_length_a 4.8356
_cell_length_b 4.8356
_cell_length_c 4.8356
_cell_angle_alpha 90.00
_cell_angle_beta 90.00
_cell_angle_gamma 90.00
loop_
_atom_site_label
_atom_site_type_symbol
_atom_site_fract_x
_atom_site_fract_y
_atom_site_fract_z
La1 La 0.0000 0.0000 0.0000
Ge1 Ge 0.5000 0.5000 0.5000
Ru1 Ru 0.0000 0.0000 0.5000
```

=====

Q: Among the records above, which one has the highest D(E_F)?
A: LaGeRu3